# 1
Compound: Gd2CdIr
Source: Alexandria
Functional: PBE
Structure: relaxed

Computed properties:
E_tot, eV per cell: -39.88
Offset from the most stable computed form, meV per atom: 93
ΔH_f (0 K), meV per atom: -486

Unit cell a=4.040 b=4.040 c=8.261 alpha=75.84 beta=75.84 gamma=60.00
Fractional coordinates of all 4 atoms:
1 Gd 0.731 0.731 0.806
2 Gd 0.269 0.269 0.194
3 Cd 0.500 0.500 0.500
4 Ir 0.000 0.000 0.000



# 2
Compound: LiGdCdIr
Source: Alexandria
Functional: PBE
Structure: relaxed

Computed properties:
E_tot, eV per cell: -27.28
ΔH_f (0 K), meV per atom: -376

Unit cell a=4.794 b=4.794 c=4.794 alpha=60.00 beta=60.00 gamma=60.00
Fractional coordinates of all 4 atoms:
1 Li 0.750 0.750 0.750
2 Ir 0.250 0.250 0.250
3 Gd 0.000 0.000 0.000
4 Cd 0.500 0.500 0.500



# 3
Compound: NaGdCdIr
Source: Alexandria
Functional: PBE
Structure: relaxed

Computed properties:
E_tot, eV per cell: -25.92
ΔH_f (0 K), meV per atom: -186

Unit cell a=4.911 b=4.911 c=4.911 alpha=60.00 beta=60.00 gamma=60.00
Fractional coordinates of all 4 atoms:
1 Na 0.750 0.750 0.750
2 Ir 0.250 0.250 0.250
3 Cd 0.500 0.500 0.500
4 Gd 0.000 0.000 0.000



# 4
Compound: GdCdIrPd
Source: Alexandria
Functional: PBE
Structure: relaxed

Computed properties:
E_tot, eV per cell: -31.05
ΔH_f (0 K), meV per atom: -499

Unit cell a=4.779 b=4.779 c=4.779 alpha=60.00 beta=60.00 gamma=60.00
Fractional coordinates of all 4 atoms:
1 Cd 0.000 0.000 0.000
2 Pd 0.250 0.250 0.250
3 Ir 0.750 0.750 0.750
4 Gd 0.500 0.500 0.500



# 5
Compound: PrGdCdIr
Source: Alexandria
Functional: PBE
Structure: relaxed

Computed properties:
E_tot, eV per cell: -30.40
ΔH_f (0 K), meV per atom: -441

Unit cell a=5.170 b=5.170 c=5.170 alpha=60.00 beta=60.00 gamma=60.00
Fractional coordinates of all 4 atoms:
1 Cd 0.750 0.750 0.750
2 Ir 0.250 0.250 0.250
3 Pr 0.000 0.000 0.000
4 Gd 0.500 0.500 0.500



# 6
Compound: GdCdIrRh
Source: Alexandria
Functional: PBE
Structure: relaxed

Computed properties:
E_tot, eV per cell: -32.76
ΔH_f (0 K), meV per atom: -389

Unit cell a=4.731 b=4.731 c=4.731 alpha=60.00 beta=60.00 gamma=60.00
Fractional coordinates of all 4 atoms:
1 Cd 0.000 0.000 0.000
2 Gd 0.500 0.500 0.500
3 Rh 0.750 0.750 0.750
4 Ir 0.250 0.250 0.250



# 7
Compound: GdScCdIr
Source: Alexandria
Functional: PBE
Structure: relaxed

Computed properties:
E_tot, eV per cell: -32.24
ΔH_f (0 K), meV per atom: -512

Unit cell a=4.933 b=4.933 c=4.933 alpha=60.00 beta=60.00 gamma=60.00
Fractional coordinates of all 4 atoms:
1 Sc 0.000 0.000 0.000
2 Gd 0.500 0.500 0.500
3 Ir 0.250 0.250 0.250
4 Cd 0.750 0.750 0.750



# 8
Compound: GdThCdIr
Source: Alexandria
Functional: PBE
Structure: relaxed

Computed properties:
E_tot, eV per cell: -32.87
ΔH_f (0 K), meV per atom: -399

Unit cell a=5.168 b=5.168 c=5.168 alpha=60.00 beta=60.00 gamma=60.00
Fractional coordinates of all 4 atoms:
1 Cd 0.000 0.000 0.000
2 Gd 0.250 0.250 0.250
3 Ir 0.500 0.500 0.500
4 Th 0.750 0.750 0.750



# 9
Compound: GdYCdIr
Source: Alexandria
Functional: PBE
Structure: relaxed

Computed properties:
E_tot, eV per cell: -32.43
ΔH_f (0 K), meV per atom: -528

Unit cell a=5.068 b=5.068 c=5.068 alpha=60.00 beta=60.00 gamma=60.00
Fractional coordinates of all 4 atoms:
1 Gd 0.500 0.500 0.500
2 Ir 0.250 0.250 0.250
3 Y 0.000 0.000 0.000
4 Cd 0.750 0.750 0.750



# 10
Compound: GdZrCdIr
Source: Alexandria
Functional: PBE
Structure: relaxed

Computed properties:
E_tot, eV per cell: -33.83
ΔH_f (0 K), meV per atom: -355

Unit cell a=4.948 b=4.948 c=4.948 alpha=60.00 beta=60.00 gamma=60.00
Fractional coordinates of all 4 atoms:
1 Gd 0.250 0.250 0.250
2 Zr 0.750 0.750 0.750
3 Cd 0.500 0.500 0.500
4 Ir 0.000 0.000 0.000



# 11
Compound: KGdCd2
Source: Alexandria
Functional: PBE
Structure: relaxed

Computed properties:
E_tot, eV per cell: -17.52
Offset from the most stable computed form, meV per atom: 0
ΔH_f (0 K), meV per atom: -129

Unit cell a=3.803 b=3.803 c=8.724 alpha=90.00 beta=90.00 gamma=90.00
Fractional coordinates of all 4 atoms:
1 Cd 0.000 0.000 0.207
2 Gd 0.500 0.500 0.000
3 K 0.500 0.500 0.500
4 Cd 0.000 0.000 0.793



# 12
Compound: KGdCd4
Source: Alexandria
Functional: PBE
Structure: relaxed

Computed properties:
E_tot, eV per cell: -19.33
ΔH_f (0 K), meV per atom: -82

Unit cell a=6.108 b=6.108 c=6.108 alpha=60.00 beta=60.00 gamma=60.00
Fractional coordinates of all 6 atoms:
1 Cd 0.626 0.626 0.123
2 K 0.250 0.250 0.250
3 Cd 0.626 0.626 0.626
4 Gd 0.000 0.000 0.000
5 Cd 0.123 0.626 0.626
6 Cd 0.626 0.123 0.626



# 13
Compound: K2GdCd
Source: Alexandria
Functional: PBE
Structure: relaxed

Computed properties:
E_tot, eV per cell: -15.89
ΔH_f (0 K), meV per atom: 324

Unit cell a=3.762 b=3.762 c=13.732 alpha=82.13 beta=82.13 gamma=60.00
Fractional coordinates of all 4 atoms:
1 Cd 0.500 0.500 0.500
2 K 0.094 0.094 0.718
3 K 0.906 0.906 0.282
4 Gd 0.000 0.000 0.000



# 14
Compound: LaGdCd2
Source: Alexandria
Functional: PBE
Structure: relaxed

Computed properties:
E_tot, eV per cell: -22.18
Offset from the most stable computed form, meV per atom: 0
ΔH_f (0 K), meV per atom: -336

Unit cell a=5.459 b=5.459 c=5.459 alpha=60.00 beta=60.00 gamma=60.00
Fractional coordinates of all 4 atoms:
1 Gd 0.000 0.000 0.000
2 La 0.500 0.500 0.500
3 Cd 0.250 0.250 0.250
4 Cd 0.750 0.750 0.750



# 15
Compound: LaGdCd2
Source: Alexandria
Functional: PBE
Structure: relaxed

Computed properties:
E_tot, eV per cell: -22.18
Offset from the most stable computed form, meV per atom: 0
ΔH_f (0 K), meV per atom: -336

Unit cell a=3.832 b=3.832 c=7.798 alpha=90.00 beta=90.00 gamma=90.00
Fractional coordinates of all 4 atoms:
1 Gd 0.500 0.500 0.000
2 Cd 0.000 0.000 0.769
3 Cd 0.000 0.000 0.231
4 La 0.500 0.500 0.500



# 16
Compound: LaGdCd4
Source: Alexandria
Functional: PBE
Structure: relaxed

Computed properties:
E_tot, eV per cell: -24.52
ΔH_f (0 K), meV per atom: -308

Unit cell a=6.011 b=6.011 c=6.011 alpha=60.00 beta=60.00 gamma=60.00
Fractional coordinates of all 6 atoms:
1 Cd 0.125 0.625 0.625
2 Gd 0.000 0.000 0.000
3 Cd 0.625 0.625 0.125
4 Cd 0.625 0.625 0.625
5 La 0.250 0.250 0.250
6 Cd 0.625 0.125 0.625